<A>
Entry from Alexandria: a relaxed structure of Tl3Ru (PBE).

a b c (Å): 5.098 5.098 5.098
angles (deg): 60.00 60.00 60.00
Positions (direct):
Tl1 0.750 0.750 0.750
Tl2 0.500 0.500 0.500
Tl3 0.250 0.250 0.250
Ru1 0.000 0.000 0.000

Crystal system: cubic
Symmetry: Fm-3m



<B>
Entry from Alexandria: a relaxed structure of Tl3Ru (PBE).

a b c (Å): 10.974 10.974 10.974
angles (deg): 157.57 157.57 31.94
Positions (direct):
Tl1 0.750 0.250 0.500
Tl2 0.874 0.874 0.000
Tl3 0.000 0.500 0.500
Tl4 0.126 0.126 0.000
Tl5 0.250 0.750 0.500
Tl6 0.500 0.000 0.500
Ru1 0.656 0.656 0.000
Ru2 0.344 0.344 0.000

Crystal system: tetragonal
Symmetry: I4/mmm



<C>
Entry from Alexandria: a relaxed structure of Tl3Ru (PBE).

a b c (Å): 5.196 5.196 3.423
angles (deg): 90.00 90.00 90.13
Each line ends with the local moment (μB).
Positions (direct):
Tl1 0.500 0.500 0.000  0.00
Tl2 0.000 0.500 0.500  0.00
Tl3 0.500 0.000 0.500  0.00
Ru1 0.000 0.000 0.000  0.31

Crystal system: orthorhombic
Symmetry: Cmmm



Which of them is the most stable? Correct choice: <B>.



<A>
Entry from Alexandria: a relaxed structure of Tl3Ru (PBE).

a b c (Å): 3.412 7.518 7.627
angles (deg): 90.00 90.00 90.00
Positions (direct):
Tl1 0.500 0.701 0.831
Tl2 0.500 0.299 0.831
Tl3 0.500 0.000 0.508
Tl4 0.000 0.799 0.169
Tl5 0.000 0.201 0.169
Tl6 0.000 0.500 0.492
Ru1 0.500 0.500 0.189
Ru2 0.000 0.000 0.811

Crystal system: orthorhombic
Symmetry: Pmmn



<B>
Entry from Alexandria: a relaxed structure of Tl3Ru (PBE).

a b c (Å): 5.651 5.651 5.651
angles (deg): 143.28 112.18 79.68
Positions (direct):
Ru1 0.925 0.000 0.925
Tl1 0.588 0.500 0.088
Tl2 0.967 0.307 0.660
Tl3 0.353 0.693 0.660

Crystal system: orthorhombic
Symmetry: Imm2



<C>
Entry from Alexandria: a relaxed structure of Tl3Ru (PBE).

a b c (Å): 5.546 5.546 5.546
angles (deg): 132.26 132.26 69.81
Each line ends with the local moment (μB).
Positions (direct):
Tl1 0.250 0.750 0.500  0.01
Tl2 0.750 0.250 0.500  0.01
Tl3 0.500 0.500 0.000  0.01
Ru1 0.000 0.000 0.000  0.73

Crystal system: tetragonal
Symmetry: I4/mmm



<D>
Entry from Alexandria: a relaxed structure of Tl3Ru (PBE).

a b c (Å): 5.582 7.670 8.726
angles (deg): 90.00 90.00 90.00
Positions (direct):
Tl1 0.892 0.978 0.250
Tl2 0.108 0.022 0.750
Tl3 0.374 0.827 0.052
Tl4 0.374 0.827 0.448
Tl5 0.608 0.478 0.250
Tl6 0.126 0.327 0.448
Tl7 0.874 0.673 0.948
Tl8 0.392 0.522 0.750
Tl9 0.626 0.173 0.552
Tl10 0.874 0.673 0.552
Tl11 0.126 0.327 0.052
Tl12 0.626 0.173 0.948
Ru1 0.912 0.370 0.750
Ru2 0.588 0.870 0.750
Ru3 0.088 0.630 0.250
Ru4 0.412 0.130 0.250

Crystal system: orthorhombic
Symmetry: Pnma



Which of them is the most stable? Correct choice: <D>.